VASP calculation (GGA-PBE) on crystalline Dy2Tm4Te9 at its relaxed geometry.

a = 7.6294 Å, b = 7.6295 Å, c = 20.9122 Å
α = 90.00°, β = 90.00°, γ = 60.00°
Closest atoms and distances in Å follow each position.
Fractional coordinates of all 30 atoms:
Dy 0.9998 0.0000 0.3430  6 Te 3.06-3.11
Dy 0.9998 0.0000 0.1570  6 Te 3.06-3.11
Dy 0.0002 0.0000 0.6570  6 Te 3.06-3.11
Dy 0.0001 0.0000 0.8430  6 Te 3.06-3.11
Tm 0.3334 0.3334 0.9911  6 Te 3.03-3.07
Tm 0.3333 0.3334 0.4911  6 Te 3.03-3.07
Tm 0.6666 0.6666 0.0089  6 Te 3.03-3.07
Tm 0.3331 0.3333 0.1755  6 Te 3.04-3.07
Tm 0.6667 0.6666 0.5089  6 Te 3.03-3.07
Tm 0.6665 0.6666 0.3245  6 Te 3.04-3.07
Tm 0.3335 0.3334 0.6755  6 Te 3.04-3.07
Tm 0.6669 0.6667 0.8245  6 Te 3.04-3.07
Te 0.0002 0.3175 0.7500  2 Tm 3.04, 2 Dy 3.11
Te 0.3177 0.6825 0.7500  2 Tm 3.04, 2 Dy 3.11
Te 0.6826 0.0000 0.7500  2 Tm 3.04, 2 Dy 3.11
Te 0.9998 0.6825 0.2500  2 Tm 3.04, 2 Dy 3.11
Te 0.6823 0.3175 0.2500  2 Tm 3.04, 2 Dy 3.11
Te 0.3174 0.0000 0.2500  2 Tm 3.04, 2 Dy 3.11
Te 0.6632 0.9816 0.4169  3 Tm 3.03-3.07, 1 Dy 3.06
Te 0.9815 0.3550 0.4169  3 Tm 3.03-3.07, 1 Dy 3.06
Te 0.3549 0.6635 0.4169  3 Tm 3.03-3.07, 1 Dy 3.06
Te 0.6448 0.0185 0.0831  3 Tm 3.03-3.07, 1 Dy 3.06
Te 0.3366 0.6449 0.0831  3 Tm 3.03-3.07, 1 Dy 3.06
Te 0.0185 0.3365 0.0831  3 Tm 3.03-3.07, 1 Dy 3.06
Te 0.3368 0.0184 0.5831  3 Tm 3.03-3.07, 1 Dy 3.06
Te 0.0185 0.6450 0.5831  3 Tm 3.03-3.07, 1 Dy 3.06
Te 0.6451 0.3365 0.5831  3 Tm 3.03-3.07, 1 Dy 3.06
Te 0.3552 0.9815 0.9169  3 Tm 3.03-3.07, 1 Dy 3.06
Te 0.6634 0.3551 0.9169  3 Tm 3.03-3.07, 1 Dy 3.06
Te 0.9815 0.6635 0.9169  3 Tm 3.03-3.07, 1 Dy 3.06

The total moment comes out at 0.00 μB per formula unit. The calculation puts the uncorrected formation energy at -1340 meV per atom. The calculation puts the volume at 35.14 A^3/atom.


VASP calculation (GGA-PBE) on crystalline Dy5Tm2Te4 at its relaxed geometry.

a = 3.8878 Å, b = 7.1880 Å, c = 12.6818 Å
α = 86.39°, β = 98.82°, γ = 90.00°
Closest atoms and distances in Å follow each position.
Fractional coordinates of all 11 atoms:
Dy 0.1441 0.8562 0.2882  3 Te 3.02-3.22
Dy 0.8559 0.1438 0.7118  3 Te 3.02-3.22
Dy 0.2337 0.2178 0.4675  3 Te 3.20-3.24, 1 Dy 3.54
Dy 0.5000 0.0000 0.0000  4 Te 2.98
Dy 0.7663 0.7822 0.5325  3 Te 3.20-3.24, 1 Dy 3.54
Tm 0.9114 0.6840 0.8228  4 Te 3.00-3.17
Tm 0.0886 0.3160 0.1772  4 Te 3.00-3.17
Te 0.6693 0.5051 0.3386  2 Tm 3.17, 5 Dy 3.20-3.24
Te 0.0347 0.7013 0.0694  3 Dy 2.98-3.02, 2 Tm 3.00-3.10
Te 0.3307 0.4949 0.6614  2 Tm 3.17, 5 Dy 3.20-3.24
Te 0.9653 0.2987 0.9306  3 Dy 2.98-3.02, 2 Tm 3.00-3.10

The total moment comes out at 2.32 μB per formula unit. The calculation puts the uncorrected formation energy at -676 meV per atom. The calculation puts the volume at 31.77 A^3/atom.


VASP calculation (GGA-PBE) on crystalline Dy2TmTe at its relaxed geometry.

a = 3.9151 Å, b = 6.3462 Å, c = 9.7909 Å
α = 90.00°, β = 90.00°, γ = 107.97°
Closest atoms and distances in Å follow each position.
Fractional coordinates of all 8 atoms:
Dy 0.3657 0.7315 0.5376  3 Te 3.11-3.22, 1 Dy 3.32
Dy 0.6343 0.2685 0.4624  3 Te 3.11-3.22, 1 Dy 3.32
Dy 0.3657 0.7315 0.9624  3 Te 3.11-3.22, 1 Dy 3.32
Dy 0.6343 0.2685 0.0376  3 Te 3.11-3.22, 1 Dy 3.32
Tm 0.9428 0.8854 0.2500  3 Te 3.17-3.54
Tm 0.0572 0.1146 0.7500  3 Te 3.17-3.54
Te 0.7640 0.5280 0.7500  6 Dy 3.11-3.22, 2 Tm 3.17
Te 0.2360 0.4720 0.2500  6 Dy 3.11-3.22, 2 Tm 3.17

The total moment comes out at 0.00 μB per formula unit. The calculation puts the uncorrected formation energy at -639 meV per atom. For the energy above the most stable polymorph in this dataset, the calculation gives 0.0000 eV/atom. The calculation puts the volume at 28.93 A^3/atom.


VASP calculation (GGA-PBE) on crystalline Dy2YTmTe6 at its relaxed geometry.

a = 7.6712 Å, b = 7.6715 Å, c = 8.2885 Å
α = 62.44°, β = 62.45°, γ = 60.00°
Closest atoms and distances in Å follow each position.
Fractional coordinates of all 10 atoms:
Dy 0.5094 0.5094 0.4717  6 Te 3.07-3.10
Dy 0.0090 0.0089 0.9731  6 Te 3.06-3.11
Y 0.8235 0.8235 0.5296  6 Te 3.07-3.11
Tm 0.3240 0.3241 0.0279  6 Te 3.04-3.07
Te 0.5986 0.2301 0.2509  1 Tm 3.04, 2 Dy 3.07-3.11, 1 Y 3.11
Te 0.2302 0.9204 0.2509  1 Tm 3.04, 2 Dy 3.07-3.11, 1 Y 3.11
Te 0.9203 0.5986 0.2508  1 Tm 3.04, 2 Dy 3.07-3.11, 1 Y 3.11
Te 0.4167 0.7273 0.7535  2 Dy 3.06-3.10, 1 Y 3.07, 1 Tm 3.07
Te 0.7273 0.1026 0.7534  2 Dy 3.06-3.10, 1 Y 3.07, 1 Tm 3.07
Te 0.1026 0.4166 0.7534  2 Dy 3.06-3.10, 1 Y 3.07, 1 Tm 3.07

The total moment comes out at 0.00 μB per formula unit. The calculation puts the uncorrected formation energy at -1360 meV per atom. The calculation puts the volume at 35.71 A^3/atom.


VASP calculation (GGA-PBE) on crystalline Dy3YTm2Te6 at its relaxed geometry.

a = 4.3176 Å, b = 8.7215 Å, c = 9.7157 Å
α = 103.35°, β = 102.84°, γ = 90.00°
Closest atoms and distances in Å follow each position.
Fractional coordinates of all 12 atoms:
Dy 0.5000 0.5000 0.0000  6 Te 3.06-3.10
Dy 0.8363 0.1680 0.6725  6 Te 3.05-3.10
Dy 0.1637 0.8320 0.3275  6 Te 3.05-3.10
Y 0.5000 0.0000 0.0000  6 Te 3.07-3.10
Tm 0.8350 0.6700 0.6700  6 Te 3.00-3.06
Tm 0.1650 0.3300 0.3300  6 Te 3.00-3.06
Te 0.3317 0.9136 0.6633  2 Tm 3.04, 3 Dy 3.08-3.09, 1 Y 3.10
Te 0.6686 0.5799 0.3372  3 Tm 3.06, 3 Dy 3.10
Te 0.6683 0.0864 0.3367  2 Tm 3.04, 3 Dy 3.08-3.09, 1 Y 3.10
Te 0.0018 0.2516 0.0036  1 Tm 3.00, 3 Dy 3.05-3.06, 2 Y 3.07
Te 0.9982 0.7484 0.9964  1 Tm 3.00, 3 Dy 3.05-3.06, 2 Y 3.07
Te 0.3314 0.4201 0.6628  3 Tm 3.06, 3 Dy 3.10

The total moment comes out at 0.00 μB per formula unit. The calculation puts the uncorrected formation energy at -1247 meV per atom. The calculation puts the volume at 28.88 A^3/atom.


VASP calculation (GGA-PBE) on crystalline Dy2YTm3Te6 at its relaxed geometry.

a = 4.3071 Å, b = 8.7106 Å, c = 9.7067 Å
α = 103.74°, β = 102.82°, γ = 90.00°
Closest atoms and distances in Å follow each position.
Fractional coordinates of all 12 atoms:
Dy 0.8335 0.6670 0.6670  6 Te 3.08
Dy 0.1665 0.3330 0.3330  6 Te 3.08
Y 0.5000 0.0000 0.0000  6 Te 3.09
Tm 0.5000 0.5000 0.0000  6 Te 3.04
Tm 0.8337 0.1671 0.6675  6 Te 3.03-3.04
Tm 0.1663 0.8329 0.3325  6 Te 3.03-3.04
Te 0.3318 0.9194 0.6637  3 Tm 3.04, 2 Dy 3.08, 1 Y 3.09
Te 0.6656 0.5859 0.3313  3 Tm 3.04, 3 Dy 3.08
Te 0.6682 0.0806 0.3363  3 Tm 3.04, 2 Dy 3.08, 1 Y 3.09
Te 0.9990 0.2534 0.9980  3 Tm 3.03-3.04, 1 Dy 3.08, 2 Y 3.09
Te 0.0010 0.7466 0.0020  3 Tm 3.03-3.04, 1 Dy 3.08, 2 Y 3.09
Te 0.3344 0.4141 0.6687  3 Tm 3.04, 3 Dy 3.08

The total moment comes out at 0.00 μB per formula unit. The calculation puts the uncorrected formation energy at -1229 meV per atom. The calculation puts the volume at 28.70 A^3/atom.


VASP calculation (GGA-PBE) on crystalline DyY3Tm2Te6 at its relaxed geometry.

a = 4.3217 Å, b = 8.7306 Å, c = 9.7225 Å
α = 103.32°, β = 102.84°, γ = 90.00°
Closest atoms and distances in Å follow each position.
Fractional coordinates of all 12 atoms:
Dy 0.5000 0.0000 0.0000  6 Te 3.07-3.09
Y 0.5000 0.5000 0.0000  6 Te 3.07-3.11
Y 0.8359 0.1675 0.6718  6 Te 3.06-3.11
Y 0.1641 0.8325 0.3282  6 Te 3.06-3.11
Tm 0.8349 0.6696 0.6699  6 Te 3.01-3.06
Tm 0.1651 0.3304 0.3301  6 Te 3.01-3.06
Te 0.3323 0.9129 0.6645  2 Tm 3.04, 3 Y 3.09-3.10, 1 Dy 3.09
Te 0.6688 0.5796 0.3376  3 Tm 3.06, 3 Y 3.11
Te 0.6677 0.0871 0.3355  2 Tm 3.04, 3 Y 3.09-3.10, 1 Dy 3.09
Te 0.0018 0.2504 0.0036  1 Tm 3.01, 3 Y 3.06-3.07, 2 Dy 3.07
Te 0.9982 0.7496 0.9964  1 Tm 3.01, 3 Y 3.06-3.07, 2 Dy 3.07
Te 0.3312 0.4204 0.6624  3 Tm 3.06, 3 Y 3.11

The total moment comes out at 0.00 μB per formula unit. The calculation puts the uncorrected formation energy at -1258 meV per atom. The calculation puts the volume at 28.96 A^3/atom.


VASP calculation (GGA-PBE) on crystalline Dy3Y2TmTe6 at its relaxed geometry.

a = 4.3280 Å, b = 8.7421 Å, c = 9.7178 Å
α = 102.77°, β = 102.87°, γ = 90.00°
Closest atoms and distances in Å follow each position.
Fractional coordinates of all 12 atoms:
Dy 0.5000 0.5000 0.0000  6 Te 3.05-3.10
Dy 0.8303 0.1667 0.6605  6 Te 3.06-3.12
Dy 0.1697 0.8333 0.3395  6 Te 3.06-3.12
Y 0.8312 0.6645 0.6624  6 Te 3.06-3.13
Y 0.1688 0.3355 0.3376  6 Te 3.06-3.13
Tm 0.5000 0.0000 0.0000  6 Te 3.03-3.05
Te 0.3360 0.9190 0.6720  1 Tm 3.03, 3 Dy 3.07-3.08, 2 Y 3.09
Te 0.6654 0.5832 0.3308  3 Dy 3.05-3.06, 3 Y 3.06-3.07
Te 0.6640 0.0810 0.3280  1 Tm 3.03, 3 Dy 3.07-3.08, 2 Y 3.09
Te 0.9993 0.2462 0.9986  2 Tm 3.05, 3 Dy 3.10-3.12, 1 Y 3.13
Te 0.0007 0.7538 0.0014  2 Tm 3.05, 3 Dy 3.10-3.12, 1 Y 3.13
Te 0.3346 0.4168 0.6692  3 Dy 3.05-3.06, 3 Y 3.06-3.07

The total moment comes out at 0.00 μB per formula unit. The calculation puts the uncorrected formation energy at -1271 meV per atom. The calculation puts the volume at 29.09 A^3/atom.


VASP calculation (GGA-PBE) on crystalline DyY2Tm3Te6 at its relaxed geometry.

a = 4.3090 Å, b = 8.7146 Å, c = 9.7092 Å
α = 103.69°, β = 102.82°, γ = 90.00°
Closest atoms and distances in Å follow each position.
Fractional coordinates of all 12 atoms:
Dy 0.5000 0.0000 0.0000  6 Te 3.08-3.09
Y 0.8333 0.6668 0.6666  6 Te 3.09
Y 0.1667 0.3332 0.3334  6 Te 3.09
Tm 0.5000 0.5000 0.0000  6 Te 3.04
Tm 0.8329 0.1667 0.6658  6 Te 3.04
Tm 0.1671 0.8333 0.3342  6 Te 3.04
Te 0.3324 0.9204 0.6649  3 Tm 3.04, 1 Dy 3.08, 2 Y 3.09
Te 0.6653 0.5864 0.3306  3 Tm 3.04, 3 Y 3.09
Te 0.6676 0.0796 0.3351  3 Tm 3.04, 1 Dy 3.08, 2 Y 3.09
Te 0.9985 0.2526 0.9970  3 Tm 3.04, 2 Dy 3.09, 1 Y 3.09
Te 0.0015 0.7474 0.0030  3 Tm 3.04, 2 Dy 3.09, 1 Y 3.09
Te 0.3347 0.4136 0.6694  3 Tm 3.04, 3 Y 3.09

The total moment comes out at 0.00 μB per formula unit. The calculation puts the uncorrected formation energy at -1235 meV per atom. The calculation puts the volume at 28.74 A^3/atom.


VASP calculation (GGA-PBE) on crystalline Dy3UTe6 at its relaxed geometry.

a = 4.3329 Å, b = 12.4822 Å, c = 12.8068 Å
α = 109.15°, β = 90.00°, γ = 90.00°
Closest atoms and distances in Å follow each position.
Fractional coordinates of all 20 atoms:
Dy 0.7500 0.4309 0.8356  6 Te 3.05-3.11
Dy 0.2500 0.5691 0.1644  6 Te 3.05-3.11
Dy 0.7500 0.6811 0.5020  7 Te 3.03-3.28
Dy 0.2500 0.3189 0.4980  7 Te 3.03-3.28
Dy 0.7500 0.1535 0.0793  6 Te 3.01-3.08
Dy 0.2500 0.8465 0.9207  6 Te 3.01-3.08
U 0.7500 0.0459 0.6965  8 Te 3.20-3.32
U 0.2500 0.9541 0.3035  8 Te 3.20-3.32
Te 0.7500 0.4841 0.6194  4 Dy 3.04-3.28
Te 0.2500 0.5159 0.3806  4 Dy 3.04-3.28
Te 0.7500 0.9149 0.1007  3 Dy 3.07-3.08, 2 U 3.29
Te 0.2500 0.0851 0.8993  3 Dy 3.07-3.08, 2 U 3.29
Te 0.7500 0.3920 0.0627  4 Dy 3.05-3.10
Te 0.2500 0.6080 0.9373  4 Dy 3.05-3.10
Te 0.7500 0.7472 0.2799  3 Dy 3.11-3.21, 2 U 3.31
Te 0.2500 0.2528 0.7201  3 Dy 3.11-3.21, 2 U 3.31
Te 0.7500 0.1129 0.4663  3 U 3.20-3.32, 2 Dy 3.28
Te 0.2500 0.8871 0.5337  3 U 3.20-3.32, 2 Dy 3.28
Te 0.7500 0.8067 0.7488  3 Dy 3.01-3.03, 1 U 3.27
Te 0.2500 0.1933 0.2512  3 Dy 3.01-3.03, 1 U 3.27

The total moment comes out at 2.90 μB per formula unit. The calculation puts the uncorrected formation energy at -1181 meV per atom. The calculation puts the volume at 32.72 A^3/atom.


VASP calculation (GGA-PBE) on crystalline Dy2UTe6 at its relaxed geometry.

a = 7.2419 Å, b = 7.2419 Å, c = 13.1248 Å
α = 90.00°, β = 90.00°, γ = 90.00°
Closest atoms and distances in Å follow each position.
Fractional coordinates of all 18 atoms:
Dy 0.0000 0.0000 0.3347  6 Te 3.05-3.08
Dy 0.5000 0.5000 0.8347  6 Te 3.05-3.08
Dy 0.5000 0.5000 0.1653  6 Te 3.05-3.08
Dy 0.0000 0.0000 0.6653  6 Te 3.05-3.08
U 0.0000 0.0000 0.0000  6 Te 2.93-2.97
U 0.5000 0.5000 0.5000  6 Te 2.93-2.97
Te 0.3006 0.3006 0.3396  1 U 2.93, 2 Dy 3.07-3.08
Te 0.6994 0.6994 0.3396  1 U 2.93, 2 Dy 3.07-3.08
Te 0.1994 0.8006 0.8396  1 U 2.93, 2 Dy 3.07-3.08
Te 0.8006 0.1994 0.8396  1 U 2.93, 2 Dy 3.07-3.08
Te 0.1994 0.8006 0.1604  1 U 2.93, 2 Dy 3.07-3.08
Te 0.8006 0.1994 0.1604  1 U 2.93, 2 Dy 3.07-3.08
Te 0.3006 0.3006 0.6604  1 U 2.93, 2 Dy 3.07-3.08
Te 0.6994 0.6994 0.6604  1 U 2.93, 2 Dy 3.07-3.08
Te 0.2903 0.2903 0.0000  1 U 2.97, 2 Dy 3.05
Te 0.7097 0.7097 0.0000  1 U 2.97, 2 Dy 3.05
Te 0.2097 0.7903 0.5000  1 U 2.97, 2 Dy 3.05
Te 0.7903 0.2097 0.5000  1 U 2.97, 2 Dy 3.05

The total moment comes out at 0.44 μB per formula unit. The calculation puts the uncorrected formation energy at -851 meV per atom. The calculation puts the volume at 38.24 A^3/atom.


VASP calculation (GGA-PBE) on crystalline Dy4YTe5 at its relaxed geometry.

a = 4.3606 Å, b = 7.5482 Å, c = 9.7288 Å
α = 74.95°, β = 77.05°, γ = 73.21°
Closest atoms and distances in Å follow each position.
Fractional coordinates of all 10 atoms:
Dy 0.5996 0.2004 0.6004  6 Te 3.08
Dy 0.2002 0.3991 0.2004  6 Te 3.08
Dy 0.7998 0.6009 0.7996  6 Te 3.08
Dy 0.4004 0.7996 0.3996  6 Te 3.08
Y 0.0000 0.0000 0.0000  6 Te 3.08-3.09
Te 0.2002 0.9004 0.6993  5 Dy 3.08, 1 Y 3.08
Te 0.7998 0.0996 0.3007  5 Dy 3.08, 1 Y 3.08
Te 0.3994 0.3013 0.8999  4 Dy 3.08, 2 Y 3.09
Te 0.0000 0.5000 0.5000  6 Dy 3.08
Te 0.6006 0.6987 0.1001  4 Dy 3.08, 2 Y 3.09

The total moment comes out at 0.00 μB per formula unit. The calculation puts the uncorrected formation energy at -1285 meV per atom. The calculation puts the volume at 29.22 A^3/atom.


Which of these has the highest volume? Dy2UTe6